VASP calculation (PBE) on AcPm2Nd6 after structural relaxation.

Values from the calculation:
As for the space-group type: C2/c (15). Its crystal system is monoclinic. As for the energy above the lowest structure with this stoichiometry: 0.048 eV per atom.

Unit cell a=6.353 b=12.246 c=12.246 alpha=96.03 beta=60.73 gamma=60.73
Positions (direct):
Pm 0.999 0.344 0.157
Nd 0.950 0.911 0.410
Ac 0.750 0.750 0.250
Nd 0.689 0.334 0.484
Pm 0.501 0.843 0.656
Nd 0.550 0.590 0.089
Nd 0.311 0.666 0.516
Nd 0.810 0.165 0.017
Ac 0.250 0.250 0.750
Nd 0.811 0.516 0.666
Pm 0.499 0.157 0.344
Nd 0.310 0.017 0.165
Nd 0.690 0.983 0.835
Nd 0.190 0.835 0.983
Nd 0.189 0.484 0.334
Pm 0.001 0.656 0.843
Nd 0.450 0.410 0.911
Nd 0.050 0.089 0.590


VASP calculation (PBE) on Ac3Pm8Nd after structural relaxation.

Values from the calculation:
The calculation puts the total energy at -4.36 eV/atom. As for the space-group type: Immm (71). Its crystal system is orthorhombic.

Unit cell a=9.053 b=9.053 c=9.053 alpha=99.15 beta=96.41 gamma=136.83
Positions (direct):
Ac 0.000 0.500 0.500
Pm 0.825 0.752 0.577
Pm 0.986 0.745 0.241
Nd 0.000 0.000 0.000
Pm 0.825 0.248 0.073
Pm 0.014 0.255 0.759
Ac 0.500 0.255 0.755
Pm 0.175 0.248 0.423
Pm 0.175 0.752 0.927
Pm 0.504 0.745 0.759
Pm 0.496 0.255 0.241
Ac 0.500 0.745 0.245


VASP calculation (PBE) on AcPmNd5 after structural relaxation.

Values from the calculation:
As for the space-group type: C2/c (15). Its crystal system is monoclinic. As for the energy above the lowest structure with this stoichiometry: 0.000 eV per atom.

Unit cell a=6.814 b=6.814 c=12.340 alpha=105.96 beta=105.96 gamma=97.13
Positions (direct):
Nd 0.029 0.385 0.333
Nd 0.385 0.029 0.833
Nd 0.832 0.168 0.750
Pm 0.491 0.509 0.750
Nd 0.168 0.832 0.250
Nd 0.533 0.240 0.465
Nd 0.240 0.533 0.965
Ac 0.000 0.000 0.500
Pm 0.509 0.491 0.250
Nd 0.467 0.760 0.535
Ac 0.000 0.000 0.000
Nd 0.615 0.971 0.167
Nd 0.760 0.467 0.035
Nd 0.971 0.615 0.667


VASP calculation (PBE) on Ac2PmNd6 after structural relaxation.

Values from the calculation:
The calculation puts the total energy at -4.54 eV/atom. As for the space-group type: C2/c (15). Its crystal system is monoclinic.

Unit cell a=9.384 b=9.347 c=9.384 alpha=67.10 beta=66.46 gamma=67.10
Positions (direct):
Nd 0.588 0.583 0.081
Ac 0.490 0.177 0.326
Nd 0.005 0.334 0.159
Nd 0.151 0.512 0.328
Nd 0.412 0.417 0.919
Ac 0.326 0.677 0.490
Pm 0.246 0.250 0.754
Nd 0.995 0.666 0.841
Nd 0.849 0.488 0.672
Ac 0.510 0.823 0.674
Pm 0.754 0.750 0.246
Nd 0.328 0.012 0.151
Ac 0.674 0.323 0.510
Nd 0.672 0.988 0.849
Nd 0.159 0.834 0.005
Nd 0.841 0.166 0.995
Nd 0.081 0.083 0.588
Nd 0.919 0.917 0.412


VASP calculation (PBE) on Ac2Pm2Nd3 after structural relaxation.

Values from the calculation:
As for the space-group type: P2/m (10). Its crystal system is monoclinic. As for the energy above the lowest structure with this stoichiometry: 0.038 eV per atom.

Unit cell a=3.626 b=5.918 c=12.638 alpha=76.56 beta=90.00 gamma=90.00
Positions (direct):
Nd 0.000 0.280 0.440
Pm 0.500 0.146 0.707
Nd 0.000 0.720 0.560
Nd 0.000 0.000 0.000
Ac 0.000 0.577 0.844
Ac 0.000 0.423 0.156
Pm 0.500 0.854 0.293


VASP calculation (PBE) on AcPm6Nd2 after structural relaxation.

Values from the calculation:
As for the space-group type: P4_2/mnm (136). Its crystal system is tetragonal. As for the energy above the lowest structure with this stoichiometry: 0.791 eV per atom.

Unit cell a=6.352 b=6.352 c=18.253 alpha=90.00 beta=90.00 gamma=90.00
Positions (direct):
Ac 0.000 0.000 0.500
Pm 0.677 0.677 0.817
Pm 0.323 0.323 0.817
Nd 0.500 0.500 0.350
Pm 0.823 0.177 0.683
Pm 0.677 0.677 0.183
Pm 0.833 0.167 0.000
Pm 0.177 0.823 0.683
Pm 0.323 0.323 0.183
Nd 0.000 0.000 0.150
Pm 0.333 0.333 0.500
Nd 0.000 0.000 0.850
Pm 0.167 0.833 0.000
Pm 0.823 0.177 0.317
Nd 0.500 0.500 0.650
Pm 0.177 0.823 0.317
Pm 0.667 0.667 0.500
Ac 0.500 0.500 0.000


VASP calculation (PBE) on AcPm9Nd2 after structural relaxation.

Values from the calculation:
The calculation puts the total energy at -4.68 eV/atom. As for the space-group type: P4/mmm (123). Its crystal system is tetragonal.

Unit cell a=5.205 b=5.205 c=15.613 alpha=90.00 beta=90.00 gamma=90.00
Positions (direct):
Pm 0.000 0.500 0.828
Nd 0.000 0.000 0.665
Pm 0.500 0.000 0.500
Pm 0.500 0.000 0.828
Nd 0.000 0.000 0.335
Pm 0.000 0.500 0.172
Pm 0.500 0.500 0.664
Pm 0.500 0.500 0.000
Ac 0.000 0.000 0.000
Pm 0.500 0.000 0.172
Pm 0.000 0.500 0.500
Pm 0.500 0.500 0.336


VASP calculation (PBE) on AcPm8Nd3 after structural relaxation.

Values from the calculation:
The calculation puts the total energy at -4.66 eV/atom. As for the space-group type: C2 (5). Its crystal system is monoclinic.

Unit cell a=8.767 b=8.784 c=8.767 alpha=94.49 beta=136.84 gamma=101.06
Positions (direct):
Nd 0.496 0.252 0.748
Nd 0.833 0.500 0.333
Pm 0.835 0.578 0.752
Pm 0.497 0.665 0.832
Pm 0.835 0.083 0.256
Nd 0.496 0.748 0.244
Ac 0.834 0.000 0.834
Pm 0.167 0.335 0.832
Pm 0.173 0.422 0.256
Pm 0.500 0.170 0.330
Pm 0.160 0.830 0.330
Pm 0.173 0.917 0.752


VASP calculation (PBE) on AcPm6Nd2 after structural relaxation.

Values from the calculation:
As for the space-group type: P-1 (2). Its crystal system is triclinic. As for the energy above the lowest structure with this stoichiometry: 0.000 eV per atom.

Unit cell a=3.728 b=9.207 c=11.806 alpha=125.98 beta=80.90 gamma=90.08
Positions (direct):
Ac 0.000 0.000 0.000
Pm 0.742 0.185 0.517
Pm 0.258 0.815 0.483
Nd 0.594 0.149 0.812
Pm 0.669 0.661 0.662
Pm 0.924 0.485 0.151
Nd 0.406 0.851 0.188
Pm 0.331 0.339 0.338
Pm 0.076 0.515 0.849


VASP calculation (PBE) on Ac2Pm2Nd7 after structural relaxation.

Values from the calculation:
As for the space-group type: C2/m (12). Its crystal system is monoclinic. As for the energy above the lowest structure with this stoichiometry: 0.099 eV per atom.

Unit cell a=8.885 b=7.987 c=7.987 alpha=53.29 beta=110.88 gamma=110.88
Positions (direct):
Nd 0.711 0.557 0.051
Pm 0.106 0.824 0.824
Nd 0.711 0.051 0.557
Nd 0.289 0.443 0.949
Nd 0.108 0.426 0.426
Pm 0.894 0.176 0.176
Ac 0.500 0.753 0.247
Ac 0.500 0.247 0.753
Nd 0.000 0.000 0.000
Nd 0.892 0.574 0.574
Nd 0.289 0.949 0.443


VASP calculation (PBE) on Ac8Pm6Nd after structural relaxation.

Values from the calculation:
The calculation puts the total energy at -4.18 eV/atom. As for the space-group type: R-3 (148). Its crystal system is trigonal.

Unit cell a=9.254 b=9.254 c=9.254 alpha=66.52 beta=66.52 gamma=66.52
Positions (direct):
Ac 0.178 0.588 0.862
Nd 0.000 0.000 0.000
Pm 0.321 0.939 0.628
Ac 0.268 0.268 0.268
Ac 0.862 0.178 0.588
Ac 0.588 0.862 0.178
Ac 0.822 0.412 0.138
Ac 0.138 0.822 0.412
Pm 0.628 0.321 0.939
Ac 0.732 0.732 0.732
Pm 0.372 0.679 0.061
Pm 0.061 0.372 0.679
Pm 0.679 0.061 0.372
Pm 0.939 0.628 0.321
Ac 0.412 0.138 0.822


VASP calculation (PBE) on Ac12PmNd7 after structural relaxation.

Values from the calculation:
The calculation puts the total energy at -4.18 eV/atom. As for the space-group type: R-3 (148). Its crystal system is trigonal.

Unit cell a=12.265 b=12.265 c=12.265 alpha=116.76 beta=116.76 gamma=116.76
Positions (direct):
Ac 0.088 0.500 0.913
Pm 0.000 0.000 0.000
Ac 0.569 0.916 0.569
Nd 0.111 0.110 0.355
Ac 0.431 0.084 0.431
Ac 0.087 0.912 0.500
Ac 0.431 0.431 0.084
Nd 0.889 0.890 0.645
Ac 0.500 0.913 0.088
Ac 0.500 0.087 0.912
Ac 0.916 0.569 0.569
Nd 0.500 0.500 0.500
Ac 0.912 0.500 0.087
Nd 0.645 0.889 0.890
Ac 0.569 0.569 0.916
Nd 0.355 0.111 0.110
Ac 0.084 0.431 0.431
Nd 0.110 0.355 0.111
Ac 0.913 0.088 0.500
Nd 0.890 0.645 0.889


VASP calculation (PBE) on Ac2Pm2Nd3 after structural relaxation.

Values from the calculation:
As for the space-group type: C2/m (12). Its crystal system is monoclinic. As for the energy above the lowest structure with this stoichiometry: 0.000 eV per atom.

Unit cell a=3.703 b=9.043 c=9.288 alpha=118.20 beta=101.50 gamma=90.00
Positions (direct):
Nd 0.000 0.500 0.000
Pm 0.566 0.906 0.133
Ac 0.145 0.325 0.289
Nd 0.789 0.190 0.578
Ac 0.855 0.675 0.711
Pm 0.434 0.094 0.867
Nd 0.211 0.810 0.422


VASP calculation (PBE) on Ac8Pm3Nd3 after structural relaxation.

Values from the calculation:
The calculation puts the total energy at -4.18 eV/atom. As for the space-group type: C2/m (12). Its crystal system is monoclinic.

Unit cell a=6.416 b=10.572 c=10.572 alpha=81.10 beta=64.61 gamma=64.61
Positions (direct):
Nd 0.500 0.500 0.500
Nd 0.893 0.230 0.230
Ac 0.242 0.479 0.220
Nd 0.107 0.770 0.770
Ac 0.294 0.888 0.372
Ac 0.758 0.521 0.780
Pm 0.000 0.134 0.866
Ac 0.706 0.628 0.112
Pm 0.000 0.866 0.134
Ac 0.758 0.780 0.521
Ac 0.706 0.112 0.628
Ac 0.242 0.220 0.479
Pm 0.500 0.000 0.000
Ac 0.294 0.372 0.888


VASP calculation (PBE) on Ac2Pm8Nd after structural relaxation.

Values from the calculation:
As for the space-group type: C2/m (12). Its crystal system is monoclinic. As for the energy above the lowest structure with this stoichiometry: 0.040 eV per atom.

Unit cell a=5.749 b=10.657 c=10.657 alpha=39.31 beta=93.03 gamma=93.03
Positions (direct):
Pm 0.732 0.389 0.858
Pm 0.226 0.177 0.177
Pm 0.764 0.456 0.456
Pm 0.732 0.858 0.389
Pm 0.236 0.544 0.544
Pm 0.268 0.142 0.611
Pm 0.268 0.611 0.142
Ac 0.744 0.282 0.282
Nd 0.000 0.000 0.000
Ac 0.256 0.718 0.718
Pm 0.774 0.823 0.823


VASP calculation (PBE) on AcPm6Nd4 after structural relaxation.

Values from the calculation:
As for the space-group type: I-42m (121). Its crystal system is tetragonal. As for the energy above the lowest structure with this stoichiometry: 0.058 eV per atom.

Unit cell a=7.977 b=7.977 c=8.664 alpha=117.41 beta=117.41 gamma=90.00
Positions (direct):
Ac 0.500 0.500 0.000
Nd 0.244 0.244 0.150
Pm 0.000 0.500 0.000
Nd 0.756 0.094 0.850
Nd 0.094 0.756 0.850
Pm 0.946 0.438 0.383
Nd 0.906 0.906 0.150
Pm 0.054 0.054 0.617
Pm 0.438 0.946 0.383
Pm 0.562 0.562 0.617
Pm 0.500 0.000 0.000


VASP calculation (PBE) on Ac2Pm7Nd3 after structural relaxation.

Values from the calculation:
As for the space-group type: Cmmm (65). Its crystal system is orthorhombic. As for the energy above the lowest structure with this stoichiometry: 0.064 eV per atom.

Unit cell a=3.721 b=6.097 c=19.763 alpha=98.87 beta=90.00 gamma=90.00
Positions (direct):
Ac 0.000 0.176 0.352
Nd 0.500 0.648 0.295
Pm 0.000 0.000 0.000
Ac 0.000 0.824 0.648
Nd 0.500 0.500 0.000
Pm 0.000 0.728 0.456
Pm 0.000 0.428 0.856
Pm 0.000 0.572 0.144
Pm 0.500 0.913 0.826
Pm 0.500 0.087 0.174
Pm 0.000 0.272 0.544
Nd 0.500 0.352 0.705


VASP calculation (PBE) on AcPmNd5 after structural relaxation.

Values from the calculation:
As for the space-group type: Immm (71). Its crystal system is orthorhombic. As for the energy above the lowest structure with this stoichiometry: 1.040 eV per atom.

Unit cell a=6.126 b=8.270 c=8.270 alpha=66.94 beta=68.26 gamma=68.26
Last column: magnetic moment on the atom in μB.
Positions (direct):
Nd 0.242 0.758 0.758  0.01
Nd 0.500 0.170 0.830  0.01
Nd 0.000 0.500 0.500  0.07
Nd 0.758 0.242 0.242  0.01
Nd 0.500 0.830 0.170  0.01
Ac 0.500 0.500 0.500  0.04
Pm 0.000 0.000 0.000  0.02


VASP calculation (PBE) on Ac12PmNd6 after structural relaxation.

Values from the calculation:
The calculation puts the total energy at -4.31 eV/atom. As for the space-group type: R-3 (148). Its crystal system is trigonal.

Unit cell a=10.261 b=10.261 c=10.261 alpha=110.84 beta=110.84 gamma=110.84
Positions (direct):
Ac 0.583 0.376 0.065
Nd 0.531 0.784 0.682
Nd 0.469 0.216 0.318
Ac 0.845 0.262 0.898
Ac 0.417 0.624 0.935
Nd 0.216 0.318 0.469
Ac 0.624 0.935 0.417
Nd 0.784 0.682 0.531
Ac 0.262 0.898 0.845
Ac 0.738 0.102 0.155
Ac 0.935 0.417 0.624
Ac 0.376 0.065 0.583
Ac 0.898 0.845 0.262
Ac 0.102 0.155 0.738
Pm 0.000 0.000 0.000
Ac 0.065 0.583 0.376
Ac 0.155 0.738 0.102
Nd 0.318 0.469 0.216
Nd 0.682 0.531 0.784